Entry 1:
HgBi2Pb | PBE | relaxed

Output
DOS at the Fermi energy, states/eV per atom: 0.222
Energy relative to the elements, eV/atom: 0.172
E_tot, eV per atom: -2.77

Unit cell a=6.938 b=6.938 c=13.802 alpha=90.00 beta=90.00 gamma=90.00
Space group I-42d (No. 122)
Symmetry-distinct sites (fractional):
Hg (0.000, 0.000, 0.000) [4 per cell]
Bi (0.236, 0.250, 0.125) [8 per cell]
Pb (0.000, 0.000, 0.500) [4 per cell]

Entry 2:
HgBi4Pb15 | PBE | relaxed

Output
DOS at the Fermi energy, states/eV per atom: 0.434
Energy relative to the elements, eV/atom: 0.031
E_tot, eV per atom: -3.54

Unit cell a=5.605 b=5.605 c=20.041 alpha=90.00 beta=90.00 gamma=90.00
Space group P4/mmm (No. 123)
Symmetry-distinct sites (fractional):
Hg (0.000, 0.000, 0.000) [1 per cell]
Bi (0.000, 0.000, 0.187) [2 per cell]
Bi (0.000, 0.000, 0.396) [2 per cell]
Pb (0.000, 0.500, 0.098) [4 per cell]
Pb (0.000, 0.500, 0.300) [4 per cell]
Pb (0.000, 0.500, 0.500) [2 per cell]
Pb (0.500, 0.500, 0.000) [1 per cell]
Pb (0.500, 0.500, 0.208) [2 per cell]
Pb (0.500, 0.500, 0.404) [2 per cell]

Entry 3:
Hg5Bi3Pb12 | PBE | relaxed

Output
DOS at the Fermi energy, states/eV per atom: 0.525
Energy relative to the elements, eV/atom: 0.175
E_tot, eV per atom: -2.71

Unit cell a=18.550 b=18.550 c=18.550 alpha=90.00 beta=90.00 gamma=90.00
Space group Ia-3d (No. 230)
Symmetry-distinct sites (fractional):
Hg (0.000, 0.000, 0.000) [16 per cell]
Hg (0.000, 0.250, 0.375) [24 per cell]
Bi (0.000, 0.250, 0.125) [24 per cell]
Pb (0.004, 0.074, 0.650) [96 per cell]